# 1
Density functional theory data (GGA-PBE) for a geometry-optimized TeW2 structure.

Computed properties:
The value obtained for the uncorrected energy is -96.67 eV for the cell shown. The calculation puts the formation energy from raw total energies at 4.881 eV per formula unit. The calculation puts the calculated density at 12554 kg/m3.

The structure in POSCAR format:
```
TeW2
1.0
-1.445 4.908 -3.844
-6.185 -0.635 1.515
0.780 4.057 4.887
W Te
8 4
Direct
0.391 0.391 0.609
0.609 0.891 0.891
0.891 0.109 0.391
0.109 0.891 0.609
0.609 0.609 0.391
0.391 0.109 0.109
0.109 0.609 0.109
0.891 0.391 0.891
0.000 0.500 0.500
0.500 0.000 0.500
0.000 0.000 0.000
0.500 0.500 0.000
```



# 2
Density functional theory data (GGA-PBE) for a geometry-optimized YTe2W structure.

Computed properties:
The value obtained for the uncorrected energy is -25.85 eV for the cell shown. The calculation puts the formation energy from raw total energies at -0.151 eV per formula unit. The calculation puts the calculated density at 9815 kg/m3.

The structure in POSCAR format:
```
YTe2W
1.0
-2.939 -4.003 -0.715
-4.941 0.339 0.804
-3.186 -0.113 -3.875
W Y Te
1 1 2
Direct
0.500 0.500 0.500
0.000 0.000 0.000
0.750 0.750 0.750
0.250 0.250 0.250
```



# 3
Density functional theory data (GGA-PBE) for a geometry-optimized YTe2W structure.

Computed properties:
The value obtained for the uncorrected energy is -26.04 eV for the cell shown. The calculation puts the formation energy from raw total energies at -0.337 eV per formula unit. The calculation puts the calculated density at 9064 kg/m3.

The structure in POSCAR format:
```
YTe2W
1.0
-1.228 3.908 -1.998
-2.323 0.830 -3.832
-5.988 0.869 2.115
Y W Te
1 1 2
Direct
0.250 0.250 0.250
0.750 0.750 0.750
0.011 0.011 0.960
0.489 0.489 0.540
```



# 4
Density functional theory data (GGA-PBE) for a geometry-optimized YTeW2 structure.

Computed properties:
The value obtained for the uncorrected energy is -34.47 eV for the cell shown. The calculation puts the formation energy from raw total energies at 1.038 eV per formula unit. The calculation puts the calculated density at 10676 kg/m3.

The structure in POSCAR format:
```
YTeW2
1.0
4.450 -0.001 -0.001
2.228 3.852 -0.001
2.227 1.284 5.300
Y Te W
1 1 2
Direct
0.504 0.504 0.487
0.721 0.721 0.838
0.985 0.985 0.043
0.289 0.289 0.132
```



# 5
Density functional theory data (GGA-PBE) for a geometry-optimized YTeW2 structure.

Computed properties:
The value obtained for the uncorrected energy is -32.36 eV for the cell shown. The calculation puts the formation energy from raw total energies at 3.150 eV per formula unit. The calculation puts the calculated density at 11836 kg/m3.

The structure in POSCAR format:
```
YTeW2
1.0
-4.331 2.761 1.671
-0.910 -4.704 -2.494
0.118 -1.493 2.772
Y W Te
1 2 1
Direct
0.500 0.000 0.500
0.000 0.000 0.000
0.500 0.500 0.000
0.000 0.500 0.500
```



# 6
Density functional theory data (GGA-PBE) for a geometry-optimized Y2TeW2 structure.

Computed properties:
The value obtained for the uncorrected energy is -42.29 eV for the cell shown. The calculation puts the formation energy from raw total energies at -0.318 eV per formula unit. The calculation puts the calculated density at 8972 kg/m3.

The structure in POSCAR format:
```
Y2TeW2
1.0
6.147 4.823 5.026
1.365 6.685 6.306
-3.935 -7.545 -3.728
W Y Te
2 2 1
Direct
0.250 0.750 0.500
0.750 0.250 0.500
0.390 0.390 0.000
0.610 0.610 0.000
0.000 0.000 0.000
```



# 7
Density functional theory data (GGA-PBE) for a geometry-optimized YTeW3 structure.

Computed properties:
The value obtained for the uncorrected energy is -33.55 eV for the cell shown. The calculation puts the formation energy from raw total energies at 14.914 eV per formula unit. The calculation puts the calculated density at 10717 kg/m3.

The structure in POSCAR format:
```
YTeW3
1.0
4.919 0.000 0.000
0.000 4.919 0.000
0.000 0.000 4.919
Te W Y
1 3 1
Direct
0.500 0.500 0.500
0.000 0.000 0.500
0.000 0.500 0.000
0.500 0.000 0.000
0.000 0.000 0.000
```



# 8
Density functional theory data (GGA-PBE) for a geometry-optimized YTeW2 structure.

Computed properties:
The value obtained for the uncorrected energy is -62.55 eV for the cell shown. The calculation puts the formation energy from raw total energies at 4.237 eV per formula unit. The calculation puts the calculated density at 10564 kg/m3.

The structure in POSCAR format:
```
YTeW2
1.0
8.152 0.000 0.000
0.000 8.152 0.000
4.076 4.076 2.763
W Y Te
4 2 2
Direct
0.677 0.125 0.250
0.875 0.927 0.750
0.375 0.323 0.750
0.073 0.625 0.250
0.500 0.500 0.000
0.250 0.750 0.500
0.750 0.250 0.500
0.000 0.000 0.000
```



# 9
Density functional theory data (GGA-PBE) for a geometry-optimized YTe2W structure.

Computed properties:
The value obtained for the uncorrected energy is -26.12 eV for the cell shown. The calculation puts the formation energy from raw total energies at -0.420 eV per formula unit. The calculation puts the calculated density at 9271 kg/m3.

The structure in POSCAR format:
```
YTe2W
1.0
5.394 -0.002 0.016
4.220 3.359 0.016
1.505 0.526 5.221
W Te Y
1 2 1
Direct
0.495 0.495 0.602
0.992 0.992 0.011
0.775 0.775 0.677
0.238 0.238 0.209
```



# 10
Density functional theory data (GGA-PBE) for a geometry-optimized YTeW2 structure.

Computed properties:
The value obtained for the uncorrected energy is -32.13 eV for the cell shown. The calculation puts the formation energy from raw total energies at 3.386 eV per formula unit. The calculation puts the calculated density at 11775 kg/m3.

The structure in POSCAR format:
```
YTeW2
1.0
-2.613 7.375 5.354
-5.460 5.980 4.931
-3.517 4.974 7.265
W Y Te
2 1 1
Direct
0.008 0.008 0.008
0.492 0.492 0.492
0.250 0.250 0.250
0.750 0.750 0.750
```



# 11
Density functional theory data (GGA-PBE) for a geometry-optimized YTeW2 structure.

Computed properties:
The value obtained for the uncorrected energy is -33.50 eV for the cell shown. The calculation puts the formation energy from raw total energies at 2.011 eV per formula unit. The calculation puts the calculated density at 11342 kg/m3.

The structure in POSCAR format:
```
YTeW2
1.0
5.022 0.000 0.000
0.000 3.367 0.003
0.000 0.071 5.059
W Y Te
2 1 1
Direct
0.000 0.862 0.014
0.000 0.638 0.486
0.500 0.250 0.250
0.500 0.750 0.750
```



# 12
Density functional theory data (GGA-PBE) for a geometry-optimized YTeW2 structure.

Computed properties:
The value obtained for the uncorrected energy is -33.54 eV for the cell shown. The calculation puts the formation energy from raw total energies at 1.969 eV per formula unit. The calculation puts the calculated density at 11925 kg/m3.

The structure in POSCAR format:
```
YTeW2
1.0
5.025 0.000 0.000
0.000 4.023 0.000
0.000 0.000 4.023
Y W Te
1 2 1
Direct
0.500 0.500 0.000
0.000 0.500 0.500
0.000 0.000 0.000
0.500 0.000 0.500
```